1.
# Cu2Ni4Pt, relaxed, DFT PBE
# raw total energy: -141.3 eV for the cell shown
# E_form: 0.292 eV/atom
data_Cu2Ni4Pt
_chemical_formula_sum 'Cu8 Ni16 Pt4'
_space_group_name_H-M_alt 'I -4 2 d'
_space_group_IT_number 122
_space_group_name_Hall 'I -4 2bw'
_cell_length_a 7.0578
_cell_length_b 7.0578
_cell_length_c 7.1682
_cell_angle_alpha 90.00
_cell_angle_beta 90.00
_cell_angle_gamma 90.00
loop_
_atom_site_label
_atom_site_fract_x
_atom_site_fract_y
_atom_site_fract_z
Cu1 0.1461 0.2500 0.1250
Ni1 0.0859 0.1529 0.8085
Pt1 0.0000 0.0000 0.5000



2.
# SrCuSb, relaxed, DFT PBE
# raw total energy: -41.9 eV for the cell shown
# formation energy without anion corrections: -0.194 eV/atom
data_SrCuSb
_chemical_formula_sum 'Sr4 Cu4 Sb4'
_space_group_name_H-M_alt 'F m m 2'
_space_group_IT_number 42
_space_group_name_Hall 'F 2 -2'
_cell_length_a 5.2954
_cell_length_b 5.3457
_cell_length_c 11.1700
_cell_angle_alpha 90.00
_cell_angle_beta 90.00
_cell_angle_gamma 90.00
loop_
_atom_site_label
_atom_site_fract_x
_atom_site_fract_y
_atom_site_fract_z
Sr1 0.0000 0.0000 0.0000
Cu1 0.0000 0.0000 0.7075
Sb1 0.0000 0.0000 0.2910



3.
# ScPb2Se2, relaxed, DFT PBE
# raw total energy: -47.7 eV for the cell shown
# formation energy without anion corrections: -0.631 eV/atom
data_ScPb2Se2
_chemical_formula_sum 'Sc2 Pb4 Se4'
_space_group_name_H-M_alt 'P 4/m b m'
_space_group_IT_number 127
_space_group_name_Hall '-P 4 2ab'
_cell_length_a 7.2551
_cell_length_b 7.2551
_cell_length_c 5.1821
_cell_angle_alpha 90.00
_cell_angle_beta 90.00
_cell_angle_gamma 90.00
loop_
_atom_site_label
_atom_site_fract_x
_atom_site_fract_y
_atom_site_fract_z
Sc1 0.0000 0.0000 0.0000
Pb1 0.1713 0.3287 0.5000
Se1 0.1782 0.6782 0.0000